Record 1
DFT (PBE-GGA) results for a relaxed structure of ZrTe2Ir.

Its distance to the lowest polymorph of the same formula is 124 meV per atom. Its magnetization is 0.00 μB/f.u. As for the energy relative to the elements, uncorrected: -2.038 eV per formula unit. As for the total energy: -25.7 eV/cell.

POSCAR file:
```
ZrTe2Ir
1.0
7.741 0.081 0.001
5.528 5.419 -0.001
-6.479 -3.126 2.860
Ir Zr Te
1 1 2
direct
0.250 0.750 0.500
0.750 0.250 0.500
0.113 0.113 0.000
0.387 0.387 0.000
```

---

Record 2
DFT (PBE-GGA) results for a relaxed structure of Ca4CeY3Te8.

Its magnetization is 1.48 μB/f.u. As for the energy relative to the elements, uncorrected: -23.454 eV per formula unit. As for the total energy: -81.9 eV/cell.

POSCAR file:
```
Ca4CeY3Te8
1.0
-1.040 -8.310 -2.792
8.885 -1.219 0.321
-4.262 2.801 7.206
Te Ca Ce Y
8 4 1 3
direct
0.748 0.745 0.497
0.252 0.255 0.503
0.747 0.251 0.003
0.256 0.251 0.003
0.747 0.251 0.495
0.744 0.749 0.997
0.253 0.749 0.997
0.253 0.749 0.505
0.000 0.000 0.000
0.500 0.000 0.000
0.500 0.000 0.500
0.000 0.000 0.500
0.000 0.500 0.000
0.500 0.500 0.000
0.500 0.500 0.500
0.000 0.500 0.500
```

---

Record 3
DFT (PBE-GGA) results for a relaxed structure of MnInW2C.

Its magnetization is 0.00 μB/f.u. As for the total energy: -40.0 eV/cell. For the calculated formation energy, the calculation gives 1.4167 eV/atom.

POSCAR file:
```
MnInW2C
1.0
-4.214 -2.028 -0.539
-0.382 -0.160 3.592
-2.038 4.244 -0.028
In C W Mn
1 1 2 1
direct
0.500 0.500 0.500
0.000 0.500 0.000
0.000 0.000 0.500
0.500 0.000 0.000
0.000 0.000 0.000
```

---

Record 4
DFT (PBE-GGA) results for a relaxed structure of NaDyTm2Se4.

Its magnetization is 0.00 μB/f.u. As for the energy relative to the elements, uncorrected: -13.594 eV per formula unit. As for the total energy: -42.4 eV/cell.

POSCAR file:
```
NaDyTm2Se4
1.0
4.031 0.000 0.000
0.000 7.069 -0.183
0.000 2.460 6.625
Se Tm Dy Na
4 2 1 1
direct
0.000 0.755 0.748
0.500 0.242 0.755
0.500 0.758 0.245
0.000 0.245 0.252
0.000 0.000 0.000
0.500 0.000 0.500
0.500 0.500 0.000
0.000 0.500 0.500
```